# 1
## Bi5Pb7 (PBE)

Data for a relaxed Bi5Pb7 crystal.

Properties
Energy above the most stable polymorph in this dataset, eV per atom: 0.000
Calculated density, kg/m³: 10744
Symmetry: C2/m
DOS(E_F), states/eV/cell: 6.457
Formation energy from the elements, eV/atom: 0.041

Cell lengths 7.6422, 7.6422, 11.5074 Å; angles 112.99, 112.99, 39.09 degrees
Last column: nearest neighbours and their distance in Å.
Sites, in units of the cell vectors:
Bi  0.0000  0.0000  0.0000  10 Pb 3.44-3.77, 2 Bi 3.49
Bi  0.1624  0.1624  0.4827  7 Pb 3.43-3.60, 3 Bi 3.50-3.58
Bi  0.2504  0.2504  0.2335  8 Pb 3.40-3.63, 2 Bi 3.49-3.58
Bi  0.7496  0.7496  0.7665  8 Pb 3.40-3.63, 2 Bi 3.49-3.58
Bi  0.8376  0.8376  0.5173  7 Pb 3.43-3.60, 3 Bi 3.50-3.58
Pb  0.0882  0.0882  0.7457  5 Bi 3.40-3.64, 7 Pb 3.58-3.72
Pb  0.3397  0.3397  0.9968  5 Bi 3.44-3.52, 7 Pb 3.53-3.72
Pb  0.4074  0.4074  0.7352  7 Bi 3.43-3.77, 5 Pb 3.48-3.67
Pb  0.5000  0.5000  0.5000  6 Pb 3.48-3.63, 6 Bi 3.53-3.63
Pb  0.5926  0.5926  0.2648  7 Bi 3.43-3.77, 5 Pb 3.48-3.67
Pb  0.6603  0.6603  0.0032  5 Bi 3.44-3.52, 7 Pb 3.53-3.72
Pb  0.9118  0.9118  0.2543  5 Bi 3.40-3.64, 7 Pb 3.58-3.72


# 2
## AlRh2Cl (PBE)

Data for a relaxed AlRh2Cl crystal.

Properties
E_form (uncorrected), kJ/mol of formula units: -27
Energy above the most stable polymorph in this dataset, eV per atom: 0.360
Calculated density, kg/m³: 7164
Symmetry: Pmm2
DOS(E_F), states/eV/cell: 3.658

Cell lengths 2.9767, 3.7806, 5.5249 Å; angles 90.00, 90.00, 90.00 degrees
Last column: nearest neighbours and their distance in Å.
Sites, in units of the cell vectors:
Al  0.0000  0.0000  0.0000  5 Rh 2.58-2.62
Rh  0.0000  0.0000  0.5267  4 Cl 2.52, 1 Al 2.62
Rh  0.5000  0.5000  0.8327  1 Cl 2.42, 4 Al 2.58
Cl  0.5000  0.5000  0.3939  5 Rh 2.42-2.52


# 3
## Zr2ScNi (PBE)

Data for a relaxed Zr2ScNi crystal.

Properties
Energy above the most stable polymorph in this dataset, eV per atom: 0.253
Calculated density, kg/m³: 5689
Symmetry: R3m
DOS(E_F), states/eV/cell: 5.949
Formation energy from the elements, eV/atom: 0.010

Cell lengths 9.1313, 9.1313, 9.1313 Å; angles 20.73, 20.73, 20.73 degrees
Last column: nearest neighbours and their distance in Å.
Sites, in units of the cell vectors:
Zr  0.0000  0.0000  0.0000  3 Ni 2.66
Zr  0.1930  0.1930  0.1930  3 Ni 2.68
Sc  0.4295  0.4295  0.4295  6 Zr 3.20-3.21, 6 Sc 3.29
Ni  0.5969  0.5969  0.5969  6 Zr 2.66-2.68


# 4
## SmEr2Tm12 (PBE)

Data for a relaxed SmEr2Tm12 crystal.

Properties
Calculated density, kg/m³: 9039
Symmetry: P2/m
DOS(E_F), states/eV/cell: 24.656
Formation energy from the elements, eV/atom: 0.073

Cell lengths 3.5707, 5.5858, 23.2065 Å; angles 90.00, 94.37, 90.00 degrees
Last column: nearest neighbours and their distance in Å.
Sites, in units of the cell vectors:
Sm  0.0000  0.0000  0.0000  2 Sm 3.57, 12 Tm 3.67-3.89
Er  0.1439  0.0000  0.2857  10 Tm 3.42-3.67, 2 Er 3.57
Er  0.8561  0.0000  0.7143  10 Tm 3.42-3.67, 2 Er 3.57
Tm  0.0971  0.5000  0.1942  10 Tm 3.42-3.57, 2 Er 3.50
Tm  0.2218  0.5000  0.4430  8 Tm 3.19-3.34
Tm  0.2871  0.0000  0.5755  8 Tm 3.34-3.65, 2 Er 3.67
Tm  0.3382  0.5000  0.6772  8 Tm 3.30-3.65, 4 Er 3.42
Tm  0.4246  0.0000  0.8507  8 Tm 3.37-3.57, 2 Er 3.62-3.63
Tm  0.4675  0.5000  0.9318  5 Tm 3.16-3.42
Tm  0.5325  0.5000  0.0682  5 Tm 3.16-3.42
Tm  0.5754  0.0000  0.1493  8 Tm 3.37-3.57, 2 Er 3.62-3.63
Tm  0.6618  0.5000  0.3228  8 Tm 3.30-3.65, 4 Er 3.42
Tm  0.7129  0.0000  0.4245  8 Tm 3.34-3.65, 2 Er 3.67
Tm  0.7782  0.5000  0.5570  8 Tm 3.19-3.34
Tm  0.9029  0.5000  0.8058  10 Tm 3.42-3.57, 2 Er 3.50


Q: Among the records above, which one has the lowest calculated density?
A: Zr2ScNi


Q: Number 3 is which compound?
A: Zr2ScNi


What did the fourth record say?
## SmEr2Tm12 (PBE)

Data for a relaxed SmEr2Tm12 crystal.

Properties
Calculated density, kg/m³: 9039
Symmetry: P2/m
DOS(E_F), states/eV/cell: 24.656
Formation energy from the elements, eV/atom: 0.073

Cell lengths 3.5707, 5.5858, 23.2065 Å; angles 90.00, 94.37, 90.00 degrees
Last column: nearest neighbours and their distance in Å.
Sites, in units of the cell vectors:
Sm  0.0000  0.0000  0.0000  2 Sm 3.57, 12 Tm 3.67-3.89
Er  0.1439  0.0000  0.2857  10 Tm 3.42-3.67, 2 Er 3.57
Er  0.8561  0.0000  0.7143  10 Tm 3.42-3.67, 2 Er 3.57
Tm  0.0971  0.5000  0.1942  10 Tm 3.42-3.57, 2 Er 3.50
Tm  0.2218  0.5000  0.4430  8 Tm 3.19-3.34
Tm  0.2871  0.0000  0.5755  8 Tm 3.34-3.65, 2 Er 3.67
Tm  0.3382  0.5000  0.6772  8 Tm 3.30-3.65, 4 Er 3.42
Tm  0.4246  0.0000  0.8507  8 Tm 3.37-3.57, 2 Er 3.62-3.63
Tm  0.4675  0.5000  0.9318  5 Tm 3.16-3.42
Tm  0.5325  0.5000  0.0682  5 Tm 3.16-3.42
Tm  0.5754  0.0000  0.1493  8 Tm 3.37-3.57, 2 Er 3.62-3.63
Tm  0.6618  0.5000  0.3228  8 Tm 3.30-3.65, 4 Er 3.42
Tm  0.7129  0.0000  0.4245  8 Tm 3.34-3.65, 2 Er 3.67
Tm  0.7782  0.5000  0.5570  8 Tm 3.19-3.34
Tm  0.9029  0.5000  0.8058  10 Tm 3.42-3.57, 2 Er 3.50


Q: Which value of DOS(E_F) does entry 1 give?
A: 6.457 states/eV/cell